Entry 1:
A relaxed Ti2MoCl crystal. Source: Alexandria via LeMat-Bulk, functional GGA-PBE.

a b c (Å): 5.6119 5.6119 5.6119
angles (deg): 104.29 104.29 120.41
With the nearest neighbours (Å) after each atom.
Positions (direct):
Ti 0.0869 0.1250 0.4619  2 Cl 2.36
Ti 0.3750 0.9131 0.0381  2 Cl 2.36
Ti 0.6631 0.6250 0.5381  2 Cl 2.36
Ti 0.8750 0.3369 0.9619  2 Cl 2.36
Mo 0.2500 0.7500 0.5000  4 Ti 2.72, 2 Cl 2.79
Mo 0.5000 0.5000 0.0000  4 Ti 2.72, 2 Cl 2.79
Cl 0.0000 0.0000 0.0000  4 Ti 2.36
Cl 0.7500 0.2500 0.5000  4 Ti 2.36

Summary:
DOS at the Fermi energy in states/eV per atom: 1.23
E_form (uncorrected) in eV/f.u.: 1.316
Offset from the most stable computed form in eV per atom: 0.000


Entry 2:
A relaxed TiMo2Cl crystal. Source: Alexandria via LeMat-Bulk, functional GGA-PBE.

a b c (Å): 10.6027 10.6027 10.6027
angles (deg): 160.23 160.23 28.10
With the nearest neighbours (Å) after each atom.
Positions (direct):
Ti 0.0000 0.0000 0.0000  4 Cl 2.57, 4 Mo 2.86
Ti 0.7500 0.2500 0.5000  4 Cl 2.57, 4 Mo 2.86
Mo 0.1110 0.6250 0.9860  4 Mo 2.50-2.65
Mo 0.3750 0.3610 0.4860  4 Mo 2.50-2.65
Mo 0.6390 0.1250 0.0140  4 Mo 2.50-2.65
Mo 0.8750 0.8890 0.5140  4 Mo 2.50-2.65
Cl 0.2500 0.7500 0.5000  4 Ti 2.57
Cl 0.5000 0.5000 0.0000  4 Ti 2.57

Summary:
DOS at the Fermi energy in states/eV per atom: 1.22
E_form (uncorrected) in eV/f.u.: 2.096
Offset from the most stable computed form in eV per atom: 0.000


Entry 3:
A relaxed Ti3MoCl crystal. Source: Alexandria via LeMat-Bulk, functional GGA-PBE.

a b c (Å): 4.4092 4.4092 4.4092
angles (deg): 90.00 90.00 90.00
With the nearest neighbours (Å) after each atom.
Positions (direct):
Ti 0.0000 0.0000 0.5000  2 Cl 2.20
Ti 0.0000 0.5000 0.0000  2 Cl 2.20
Ti 0.5000 0.0000 0.0000  2 Cl 2.20
Mo 0.5000 0.5000 0.5000  12 Ti 3.12
Cl 0.0000 0.0000 0.0000  6 Ti 2.20

Summary:
DOS at the Fermi energy in states/eV per atom: 1.63
E_form (uncorrected) in eV/f.u.: 1.205
Offset from the most stable computed form in eV per atom: 0.000


Entry 4:
A relaxed Ti3MoCl crystal. Source: Alexandria via LeMat-Bulk, functional GGA-PBE.

a b c (Å): 4.8498 4.8498 4.8498
angles (deg): 90.00 90.00 90.00
With the nearest neighbours (Å) after each atom.
Positions (direct):
Ti 0.0000 0.0000 0.5000  2 Mo 2.42
Ti 0.0000 0.5000 0.0000  2 Mo 2.42
Ti 0.5000 0.0000 0.0000  2 Mo 2.42
Mo 0.0000 0.0000 0.0000  6 Ti 2.42
Cl 0.5000 0.5000 0.5000  12 Ti 3.43

Summary:
DOS at the Fermi energy in states/eV per atom: 1.74
E_form (uncorrected) in eV/f.u.: 4.180
Offset from the most stable computed form in eV per atom: 0.595


Entry 5:
A relaxed TiMo2Cl crystal. Source: Alexandria via LeMat-Bulk, functional GGA-PBE.

a b c (Å): 4.4493 4.4493 4.4493
angles (deg): 60.00 60.00 60.00
With the nearest neighbours (Å) after each atom.
Positions (direct):
Ti 0.0000 0.0000 0.0000  8 Mo 2.72
Mo 0.2500 0.2500 0.2500  4 Cl 2.72, 4 Ti 2.72
Mo 0.7500 0.7500 0.7500  4 Cl 2.72, 4 Ti 2.72
Cl 0.5000 0.5000 0.5000  8 Mo 2.72

Summary:
DOS at the Fermi energy in states/eV per atom: 1.58
E_form (uncorrected) in eV/f.u.: 3.287
Offset from the most stable computed form in eV per atom: 0.298


Entry 6:
A relaxed TiMoCl2 crystal. Source: Alexandria via LeMat-Bulk, functional GGA-PBE.

a b c (Å): 8.5465 8.5465 8.5465
angles (deg): 20.23 20.23 20.23
With the nearest neighbours (Å) after each atom.
Positions (direct):
Ti 0.0000 0.0000 0.0000  6 Cl 2.46
Mo 0.5000 0.5000 0.5000  2 Cl 2.43
Cl 0.4031 0.4031 0.4031  1 Mo 2.43, 3 Ti 2.46
Cl 0.5969 0.5969 0.5969  1 Mo 2.43, 3 Ti 2.46

Summary:
DOS at the Fermi energy in states/eV per atom: 0.90
E_form (uncorrected) in eV/f.u.: -1.186
Offset from the most stable computed form in eV per atom: 0.000


Entry 7:
A relaxed Ti2MoCl crystal. Source: Alexandria via LeMat-Bulk, functional GGA-PBE.

a b c (Å): 4.5098 4.5098 4.5098
angles (deg): 60.00 60.00 60.00
With the nearest neighbours (Å) after each atom.
Positions (direct):
Ti 0.2500 0.2500 0.2500  4 Cl 2.76, 4 Mo 2.76
Ti 0.7500 0.7500 0.7500  4 Cl 2.76, 4 Mo 2.76
Mo 0.0000 0.0000 0.0000  8 Ti 2.76
Cl 0.5000 0.5000 0.5000  8 Ti 2.76

Summary:
DOS at the Fermi energy in states/eV per atom: 1.56
E_form (uncorrected) in eV/f.u.: 1.483
Offset from the most stable computed form in eV per atom: 0.042


Entry 8:
A relaxed TiMoCl2 crystal. Source: Alexandria via LeMat-Bulk, functional GGA-PBE.

a b c (Å): 8.4283 8.4283 8.4283
angles (deg): 151.36 151.36 40.95
With the nearest neighbours (Å) after each atom.
Positions (direct):
Ti 0.0000 0.0000 0.0000  4 Cl 2.47
Ti 0.7500 0.2500 0.5000  4 Cl 2.47
Mo 0.2500 0.7500 0.5000  4 Cl 2.46
Mo 0.5000 0.5000 0.0000  4 Cl 2.46
Cl 0.1266 0.6250 0.0016  2 Mo 2.46, 2 Ti 2.47
Cl 0.3750 0.3766 0.5016  2 Mo 2.46, 2 Ti 2.47
Cl 0.6234 0.1250 0.9984  2 Mo 2.46, 2 Ti 2.47
Cl 0.8750 0.8734 0.4984  2 Mo 2.46, 2 Ti 2.47

Summary:
DOS at the Fermi energy in states/eV per atom: 0.71
E_form (uncorrected) in eV/f.u.: -0.061
Offset from the most stable computed form in eV per atom: 0.281


Entry 9:
A relaxed TiTlMoCl2 crystal. Source: Alexandria via LeMat-Bulk, functional GGA-PBE.

a b c (Å): 4.6082 4.6082 5.9719
angles (deg): 90.00 90.00 90.00
With the nearest neighbours (Å) after each atom.
Positions (direct):
Ti 0.0000 0.0000 0.0000  4 Tl 3.26
Tl 0.5000 0.5000 0.0000  2 Mo 2.99, 4 Ti 3.26
Mo 0.5000 0.5000 0.5000  4 Cl 2.30
Cl 0.0000 0.5000 0.5000  2 Mo 2.30
Cl 0.5000 0.0000 0.5000  2 Mo 2.30

Summary:
DOS at the Fermi energy in states/eV per atom: 1.04
E_form (uncorrected) in eV/f.u.: 2.678


Entry 10:
A relaxed TlMoCl3 crystal. Source: Alexandria via LeMat-Bulk, functional GGA-PBE.

a b c (Å): 9.2757 9.2757 9.0738
angles (deg): 107.88 107.88 20.49
With the nearest neighbours (Å) after each atom.
Positions (direct):
Tl 0.0881 0.0881 0.3705  2 Tl 3.30, 5 Cl 3.32-3.36
Tl 0.9119 0.9119 0.6295  2 Tl 3.30, 5 Cl 3.32-3.36
Mo 0.2921 0.2921 0.1319  6 Cl 2.44-2.50
Mo 0.7079 0.7079 0.8681  6 Cl 2.44-2.50
Cl 0.1525 0.1525 0.0114  3 Mo 2.44-2.50
Cl 0.2403 0.2403 0.6913  2 Mo 2.50
Cl 0.4216 0.4216 0.3192  1 Mo 2.44
Cl 0.5784 0.5784 0.6808  1 Mo 2.44
Cl 0.7597 0.7597 0.3087  2 Mo 2.50
Cl 0.8475 0.8475 0.9886  3 Mo 2.44-2.50

Summary:
DOS at the Fermi energy in states/eV per atom: 0.42
E_form (uncorrected) in eV/f.u.: -3.300
Offset from the most stable computed form in eV per atom: 0.000


Entry 11:
A relaxed TlMo2Cl crystal. Source: Alexandria via LeMat-Bulk, functional GGA-PBE.

a b c (Å): 3.4759 5.0652 5.1491
angles (deg): 90.00 94.07 90.00
With the nearest neighbours (Å) after each atom.
Positions (direct):
Tl 0.0000 0.0000 0.0000  4 Mo 2.84, 2 Cl 3.00
Mo 0.3007 0.5000 0.1637  1 Mo 2.26
Mo 0.6993 0.5000 0.8363  1 Mo 2.26
Cl 0.5000 0.0000 0.5000  4 Tl 3.00-3.21, 4 Mo 3.12

Summary:
DOS at the Fermi energy in states/eV per atom: 0.75
E_form (uncorrected) in eV/f.u.: 2.630
Offset from the most stable computed form in eV per atom: 0.493


Entry 12:
A relaxed Tl2MoCl crystal. Source: Alexandria via LeMat-Bulk, functional GGA-PBE.

a b c (Å): 5.3396 5.3396 5.3396
angles (deg): 60.00 60.00 60.00
With the nearest neighbours (Å) after each atom.
Positions (direct):
Tl 0.2500 0.2500 0.2500  4 Cl 3.27, 4 Mo 3.27
Tl 0.7500 0.7500 0.7500  4 Cl 3.27, 4 Mo 3.27
Mo 0.0000 0.0000 0.0000  8 Tl 3.27
Cl 0.5000 0.5000 0.5000  8 Tl 3.27

Summary:
DOS at the Fermi energy in states/eV per atom: 0.69
E_form (uncorrected) in eV/f.u.: 2.910
Offset from the most stable computed form in eV per atom: 0.598


Entry 13:
A relaxed Tl2MoCl crystal. Source: Alexandria via LeMat-Bulk, functional GGA-PBE.

a b c (Å): 6.6232 6.6232 6.6232
angles (deg): 142.66 142.66 53.84
With the nearest neighbours (Å) after each atom.
Positions (direct):
Tl 0.0000 0.0000 0.0000  4 Mo 3.00
Tl 0.7500 0.2500 0.5000  4 Cl 3.00
Mo 0.5000 0.5000 0.0000  4 Tl 3.00
Cl 0.2500 0.7500 0.5000  4 Tl 3.00

Summary:
DOS at the Fermi energy in states/eV per atom: 0.66
E_form (uncorrected) in eV/f.u.: 2.369
Offset from the most stable computed form in eV per atom: 0.462


Entry 14:
A relaxed Tl2MoCl crystal. Source: Alexandria via LeMat-Bulk, functional GGA-PBE.

a b c (Å): 5.7919 5.7919 5.5133
angles (deg): 109.02 109.02 31.31
With the nearest neighbours (Å) after each atom.
Positions (direct):
Tl 0.0000 0.0000 0.0000  3 Mo 3.01-3.20, 2 Tl 3.13, 2 Cl 3.18
Tl 0.1994 0.1994 0.6471  1 Cl 3.04, 4 Mo 3.05-3.36, 2 Tl 3.13
Mo 0.7450 0.7450 0.1453  2 Cl 2.46
Cl 0.4079 0.4079 0.4068  2 Mo 2.46

Summary:
DOS at the Fermi energy in states/eV per atom: 0.56
E_form (uncorrected) in eV/f.u.: 0.977
Offset from the most stable computed form in eV per atom: 0.114